1.
First-principles (GGA-PBE) data for a relaxed structure of Ho2Th2Sb3, as listed in the Alexandria database.

a = 4.2870 Å, b = 7.4310 Å, c = 7.4845 Å
α = 97.96°, β = 89.98°, γ = 106.78°
With the nearest neighbours (Å) after each atom.
Fractional coordinates of all 7 atoms:
Sb1 0.7405 0.4812 0.2437  3 Ho 3.06-3.07, 3 Th 3.13-3.18
Sb2 0.2595 0.5188 0.7563  3 Ho 3.06-3.07, 3 Th 3.13-3.18
Sb3 0.0000 0.0000 0.0000  4 Ho 3.04, 2 Th 3.14
Ho1 0.6244 0.2486 0.8668  5 Sb 3.04-3.07
Ho2 0.3756 0.7514 0.1332  5 Sb 3.04-3.07
Th1 0.8884 0.7755 0.6063  4 Sb 3.13-3.18
Th2 0.1116 0.2245 0.3937  4 Sb 3.13-3.18

Computed properties:
VASP energy: -5.877 eV per atom
E_form (uncorrected): -65.84 kJ per mole of atoms

2.
First-principles (GGA-PBE) data for a relaxed structure of Ho2ThSb, as listed in the Alexandria database.

a = 4.6995 Å, b = 4.8789 Å, c = 4.8789 Å
α = 90.00°, β = 90.00°, γ = 90.00°
With the nearest neighbours (Å) after each atom.
Fractional coordinates of all 4 atoms:
Th1 0.5000 0.5000 0.5000  8 Ho 3.39, 4 Sb 3.45
Ho1 0.0000 0.5000 0.0000  4 Th 3.39, 4 Sb 3.39, 4 Ho 3.45
Ho2 0.0000 0.0000 0.5000  4 Th 3.39, 4 Sb 3.39, 4 Ho 3.45
Sb1 0.5000 0.0000 0.0000  8 Ho 3.39, 4 Th 3.45

Computed properties:
VASP energy: -5.611 eV per atom
excess energy over the best structure of this formula in the dataset: 0.19 eV/f.u.
E_form (uncorrected): -42.16 kJ per mole of atoms

3.
First-principles (GGA-PBE) data for a relaxed structure of Ho2ThSb3, as listed in the Alexandria database.

a = 4.4265 Å, b = 6.2713 Å, c = 7.6289 Å
α = 114.27°, β = 106.86°, γ = 90.00°
With the nearest neighbours (Å) after each atom.
Fractional coordinates of all 6 atoms:
Sb1 0.8281 0.3281 0.1563  4 Ho 3.09-3.14, 2 Th 3.17
Sb2 0.1719 0.6719 0.8437  4 Ho 3.09-3.14, 2 Th 3.17
Sb3 0.5000 0.0000 0.5000  4 Ho 3.10, 2 Th 3.14
Ho1 0.1650 0.1650 0.8299  6 Sb 3.09-3.14
Ho2 0.8350 0.8350 0.1701  6 Sb 3.09-3.14
Th1 0.5000 0.5000 0.5000  6 Sb 3.14-3.17

Computed properties:
VASP energy: -5.873 eV per atom
E_form (uncorrected): -101.22 kJ per mole of atoms

4.
First-principles (GGA-PBE) data for a relaxed structure of HoTh4Sb5, as listed in the Alexandria database.

a = 4.4879 Å, b = 4.4879 Å, c = 16.1407 Å
α = 97.99°, β = 97.99°, γ = 90.00°
With the nearest neighbours (Å) after each atom.
Fractional coordinates of all 10 atoms:
Sb1 0.7002 0.7002 0.4005  6 Th 3.17-3.19
Sb2 0.9025 0.9025 0.8050  1 Ho 3.09, 5 Th 3.17-3.22
Sb3 0.2998 0.2998 0.5995  6 Th 3.17-3.19
Sb4 0.5000 0.5000 0.0000  2 Th 3.16, 4 Ho 3.17
Sb5 0.0975 0.0975 0.1950  1 Ho 3.09, 5 Th 3.17-3.22
Th1 0.1991 0.1991 0.3982  6 Sb 3.17-3.22
Th2 0.5998 0.5998 0.1996  6 Sb 3.16-3.18
Th3 0.4002 0.4002 0.8004  6 Sb 3.16-3.18
Th4 0.8009 0.8009 0.6018  6 Sb 3.17-3.22
Ho1 0.0000 0.0000 0.0000  6 Sb 3.09-3.17

Computed properties:
VASP energy: -6.431 eV per atom
E_form (uncorrected): -91.11 kJ per mole of atoms

What did the second record say?
First-principles (GGA-PBE) data for a relaxed structure of Ho2ThSb, as listed in the Alexandria database.

a = 4.6995 Å, b = 4.8789 Å, c = 4.8789 Å
α = 90.00°, β = 90.00°, γ = 90.00°
With the nearest neighbours (Å) after each atom.
Fractional coordinates of all 4 atoms:
Th1 0.5000 0.5000 0.5000  8 Ho 3.39, 4 Sb 3.45
Ho1 0.0000 0.5000 0.0000  4 Th 3.39, 4 Sb 3.39, 4 Ho 3.45
Ho2 0.0000 0.0000 0.5000  4 Th 3.39, 4 Sb 3.39, 4 Ho 3.45
Sb1 0.5000 0.0000 0.0000  8 Ho 3.39, 4 Th 3.45

Computed properties:
VASP energy: -5.611 eV per atom
excess energy over the best structure of this formula in the dataset: 0.19 eV/f.u.
E_form (uncorrected): -42.16 kJ per mole of atoms

Which of these has the lowest E_form (uncorrected)? Ho2ThSb3

Which of these has the lowest E_form (uncorrected)? Ho2ThSb3